YHo3Cd2: optimized geometry, PBE.

Cell lengths 3.638, 3.638, 12.734 Å; angles 90.00, 90.00, 90.00 degrees
Space group P4/mmm (No. 123)
Asymmetric unit:
1 Y 0.000 0.000 0.000 (multiplicity 1)
2 Ho 0.500 0.500 0.194 (multiplicity 2)
3 Ho 0.500 0.500 0.500 (multiplicity 1)
4 Cd 0.000 0.000 0.349 (multiplicity 2)

**Energy of formation from the pure elements**: -0.195 eV per atom
**DOS(E_F)**: 7.620 states/eV per cell
**Calculated volume**: 28.088 A^3/atom
**Total magnetic moment**: 0.0 μB/f.u.